This record from Alexandria describes an optimized crystal structure of Rb2MnCu2F6. The functional is PBE+U.

## Properties
Total energy: -4.693 eV/atom
ρ: 4.1 g/cm3
Total magnetization: 4.87 μB per formula unit
Space group: C2/m, No. 12

The structure in POSCAR format:
```
Rb2MnCu2F6
1.0
5.5639 -3.0261 0.0000
5.5639 3.0261 0.0000
-3.6407 0.0000 5.6382
Rb Mn Cu F
2 1 2 6
Direct
0.2223 0.2223 0.1862
0.7777 0.7777 0.8138
0.0000 0.0000 0.5000
0.4314 0.4314 0.7752
0.5686 0.5686 0.2248
0.1996 0.7149 0.2382
0.2279 0.2279 0.6463
0.2851 0.8004 0.7618
0.7149 0.1996 0.2382
0.7721 0.7721 0.3537
0.8004 0.2851 0.7618
```